A plane-wave DFT calculation with PBE+U was carried out for Mg2BeNiO after structural relaxation.

a = 4.6058 Å, b = 4.6058 Å, c = 3.6166 Å
α = 90.00°, β = 90.00°, γ = 90.00°
Fractional positions:
Mg: 0.0000 0.5000 0.0000
Mg: 0.5000 0.0000 0.0000
Be: 0.0000 0.0000 0.0000
Ni: 0.0000 0.0000 0.5000
O: 0.5000 0.5000 0.5000

Output
Symmetry = No. 123
Energy = -2.357 eV per atom
Magnetic moment = 0.000 μB/atom
DOS(E_F) = 0.53 states/eV per atom